# 1
{
  "formula": "HfCr2SnOs",
  "functional": "meta-GGA SCAN",
  "state": "PBEsol geometry",
  "formation_energy_ev_per_atom": 1.494,
  "cell": [[4.6554, 0.0000, 0.0000], [0.0000, 4.6554, 0.0000], [0.0000, 0.0000, 4.8078]],
  "species": ["Hf", "Os", "Sn", "Cr", "Cr"],
  "frac_coords": [[0.5000, 0.5000, 0.5000], [0.0000, 0.0000, 0.5000], [0.0000, 0.0000, 0.0000], [0.0000, 0.5000, 0.0000], [0.5000, 0.0000, 0.0000]]
}

# 2
{
  "formula": "Cd2AgHg",
  "functional": "meta-GGA SCAN",
  "state": "PBEsol geometry",
  "formation_energy_ev_per_atom": 0.012,
  "cell": [[3.1727, 0.0000, 0.0000], [-1.5863, 4.8721, -0.0045], [0.0000, -0.8353, 5.0793]],
  "species": ["Hg", "Ag", "Cd", "Cd"],
  "frac_coords": [[0.5000, 0.0000, 0.0000], [0.0000, 0.0000, 0.5000], [0.7449, 0.4898, 0.7405], [0.2551, 0.5102, 0.2595]]
}

# 3
{
  "formula": "CoIrRu3",
  "functional": "meta-GGA SCAN",
  "state": "PBEsol geometry",
  "formation_energy_ev_per_atom": 1.725,
  "cell": [[-3.2682, -1.5532, 2.2072], [1.6994, -3.8772, -0.2121], [2.0967, 0.7214, 3.6123]],
  "species": ["Ru", "Ru", "Ru", "Ir", "Co"],
  "frac_coords": [[0.0000, 0.5000, 0.0000], [0.0000, 0.0000, 0.5000], [0.5000, 0.0000, 0.0000], [0.5000, 0.5000, 0.5000], [0.0000, 0.0000, 0.0000]]
}

# 4
{
  "formula": "Zn2HgN",
  "functional": "meta-GGA SCAN",
  "state": "PBEsol geometry",
  "formation_energy_uncorrected_ev_per_fu": 0.39,
  "cell": [[5.7450, 0.0000, 0.0000], [-2.8725, 5.0516, 0.0670], [0.0000, 3.2035, 4.7689]],
  "species": ["Zn", "Zn", "Zn", "Zn", "Hg", "Hg", "N", "N"],
  "frac_coords": [[0.4954, 0.7500, 0.3750], [0.2546, 0.7500, 0.8750], [0.8750, 0.2500, 0.4954], [0.3750, 0.2500, 0.2546], [0.7500, 0.5000, 0.7500], [0.0000, 0.0000, 0.0000], [0.2500, 0.5000, 0.2500], [0.5000, 0.0000, 0.5000]]
}

# 5
{
  "formula": "CoSnSbI2",
  "functional": "meta-GGA SCAN",
  "state": "PBEsol geometry",
  "formation_energy_uncorrected_ev_per_fu": 4.77,
  "cell": [[5.7821, 0.0000, 0.0000], [0.0000, 5.7821, 0.0000], [0.0000, 0.0000, 5.7814]],
  "species": ["I", "I", "Sb", "Co", "Sn"],
  "frac_coords": [[0.0000, 0.5000, 0.0000], [0.5000, 0.0000, 0.0000], [0.0000, 0.0000, 0.5000], [0.5000, 0.5000, 0.5000], [0.0000, 0.0000, 0.0000]]
}

# 6
{
  "formula": "BaNiS3",
  "functional": "meta-GGA SCAN",
  "state": "PBEsol geometry",
  "formation_energy_uncorrected_ev_per_fu": -4.58,
  "cell": [[-3.0637, -2.6102, 2.2199], [-1.0202, -2.1479, -3.9336], [3.2711, -3.1146, 0.8523]],
  "species": ["Ni", "S", "S", "S", "Ba"],
  "frac_coords": [[0.0000, 0.0000, 0.0000], [0.0000, 0.5000, 0.0000], [0.0000, 0.0000, 0.5000], [0.5000, 0.0000, 0.0000], [0.5000, 0.5000, 0.5000]]
}

# 7
{
  "formula": "Ca2PRh",
  "functional": "meta-GGA SCAN",
  "state": "PBEsol geometry",
  "formation_energy_ev_per_atom": -0.926,
  "cell": [[-1.4980, -2.6753, -2.2085], [3.9939, -1.0616, -1.4230], [-1.5334, -2.9406, 4.6022]],
  "species": ["P", "Ca", "Ca", "Rh"],
  "frac_coords": [[0.0000, 0.6857, 0.3715], [0.0000, 0.9814, 0.9627], [0.5000, 0.2664, 0.5328], [0.5000, 0.5600, 0.1200]]
}

# 8
{
  "formula": "LiLa3Cr",
  "functional": "meta-GGA SCAN",
  "state": "PBEsol geometry",
  "formation_energy_ev_per_atom": 0.331,
  "cell": [[5.2853, 0.0000, 0.0000], [0.0000, 5.2853, 0.0000], [0.0000, 0.0000, 5.2853]],
  "species": ["Cr", "Li", "La", "La", "La"],
  "frac_coords": [[0.0000, 0.0000, 0.0000], [0.5000, 0.5000, 0.5000], [0.0000, 0.5000, 0.0000], [0.0000, 0.0000, 0.5000], [0.5000, 0.0000, 0.0000]]
}

# 9
{
  "formula": "Ca2HfMn",
  "functional": "meta-GGA SCAN",
  "state": "PBEsol geometry",
  "formation_energy_ev_per_atom": 0.615,
  "cell": [[5.2535, 0.0000, 0.0000], [2.6268, 4.5497, 0.0000], [2.6268, 1.5166, 4.2895]],
  "species": ["Ca", "Ca", "Mn", "Hf"],
  "frac_coords": [[0.2500, 0.2500, 0.2500], [0.7500, 0.7500, 0.7500], [0.0000, 0.0000, 0.0000], [0.5000, 0.5000, 0.5000]]
}

# 10
{
  "formula": "CeMn4Al8",
  "functional": "meta-GGA SCAN",
  "state": "PBEsol geometry",
  "formation_energy_ev_per_atom": -0.312,
  "cell": [[-2.6657, 1.6726, 3.7411], [-6.1632, -2.5028, -0.0783], [0.5557, -3.9229, 5.3440]],
  "species": ["Ce", "Mn", "Mn", "Mn", "Mn", "Al", "Al", "Al", "Al", "Al", "Al", "Al", "Al"],
  "frac_coords": [[0.0000, 0.0000, 0.0000], [0.5000, 0.5000, 0.0000], [0.0000, 0.5000, 0.0000], [0.0000, 0.0000, 0.5000], [0.5000, 0.0000, 0.5000], [0.0000, 0.3430, 0.6570], [0.6570, 0.3430, 0.3430], [0.3430, 0.6570, 0.6570], [0.0000, 0.6570, 0.3430], [0.5000, 0.7811, 0.2189], [0.7189, 0.7811, 0.7811], [0.2811, 0.2189, 0.2189], [0.5000, 0.2189, 0.7811]]
}

# 11
{
  "formula": "LiSi2Rh2",
  "functional": "meta-GGA SCAN",
  "state": "PBEsol geometry",
  "e_above_lowest_polymorph_mev_per_atom": 61,
  "formation_energy_uncorrected_ev_per_fu": -3.99,
  "cell": [[3.9957, 0.0000, 0.0000], [0.0000, 3.9957, 0.0000], [-1.9978, -1.9978, 4.7889]],
  "species": ["Si", "Si", "Rh", "Rh", "Li"],
  "frac_coords": [[0.6232, 0.6232, 0.2465], [0.3768, 0.3768, 0.7535], [0.2500, 0.7500, 0.5000], [0.7500, 0.2500, 0.5000], [0.0000, 0.0000, 0.0000]]
}

# 12
{
  "formula": "ZnAgPt2",
  "functional": "meta-GGA SCAN",
  "state": "PBEsol geometry",
  "formation_energy_ev_per_atom": -0.187,
  "cell": [[2.7593, 0.0000, 0.0451], [0.0000, 3.8580, 0.0000], [-0.1125, 0.0000, 5.6084]],
  "species": ["Ag", "Pt", "Pt", "Zn"],
  "frac_coords": [[0.4981, 0.5000, 0.7488], [0.9999, 0.0000, 0.0023], [0.5016, 0.5000, 0.2626], [0.0003, 0.0000, 0.4864]]
}

| no. | spin magnetization (μB per formula unit) |
| --- | --- |
| 1 | 6.371 |
| 2 | 0.000 |
| 3 | 0.001 |
| 4 | 0.000 |
| 5 | 1.975 |
| 6 | 0.000 |
| 7 | 0.000 |
| 8 | 0.002 |
| 9 | 4.442 |
| 10 | 0.001 |
| 11 | 0.000 |
| 12 | 0.000 |